## PrEuHfVO6 (GGA+U)

Data for crystalline PrEuHfVO6 at its relaxed geometry.

abc: 5.7072 5.7072 5.7072
angles: 60.00 60.00 60.00
Last column: nearest neighbours and their distance in Å.
Fractional coordinates of all 10 atoms:
Pr 0.0000 0.0000 0.0000  12 O 2.85
Eu 0.5000 0.5000 0.5000  12 O 2.85
Hf 0.2500 0.2500 0.2500  6 O 2.04
V 0.7500 0.7500 0.7500  6 O 1.99
O 0.5029 0.5029 0.9971  1 V 1.99, 1 Hf 2.04
O 0.5029 0.9971 0.5029  1 V 1.99, 1 Hf 2.04
O 0.5029 0.9971 0.9971  1 V 1.99, 1 Hf 2.04
O 0.9971 0.5029 0.5029  1 V 1.99, 1 Hf 2.04
O 0.9971 0.5029 0.9971  1 V 1.99, 1 Hf 2.04
O 0.9971 0.9971 0.5029  1 V 1.99, 1 Hf 2.04

Energy (hartree per atom): -0.335
Size of the total moment (μB/cell): 9.000
Space group: F-43m (216)